Entry 1:
A plane-wave DFT calculation with PBE-GGA was carried out for a relaxed structure of KSnO.

Values from the calculation:
The calculation puts the density of states at the Fermi level at 0.30 states/eV per atom. For the formation energy from raw total energies, the calculation gives -0.91 eV/atom.

Cell lengths 8.5774, 3.3210, 10.8667 Å; angles 90.00, 90.00, 90.00 degrees
Closest atoms and distances in Å follow each position.
Fractional coordinates of all 12 atoms:
K 0.0160 0.2500 0.2072  2 O 2.65
K 0.4840 0.7500 0.7072  2 O 2.65
K 0.5160 0.2500 0.2928  2 O 2.65
K 0.9840 0.7500 0.7928  2 O 2.65
Sn 0.1764 0.2500 0.5109  3 O 2.14-2.37
Sn 0.3236 0.7500 0.0109  3 O 2.14-2.37
Sn 0.6764 0.2500 0.9891  3 O 2.14-2.37
Sn 0.8236 0.7500 0.4891  3 O 2.14-2.37
O 0.0436 0.7500 0.3964  3 Sn 2.14-2.37
O 0.4564 0.2500 0.8964  3 Sn 2.14-2.37
O 0.5436 0.7500 0.1036  3 Sn 2.14-2.37
O 0.9564 0.2500 0.6036  3 Sn 2.14-2.37

Entry 2:
A plane-wave DFT calculation with PBE-GGA was carried out for a relaxed structure of Zr3MnB.

Values from the calculation:
The formation energy comes out at 1007 meV/atom. The calculation puts the distance to the lowest polymorph of the same formula at 0.721 eV per atom. The calculation puts the density of states at the Fermi level at 1.49 states/eV per atom.

Cell lengths 4.6899, 4.6899, 4.6899 Å; angles 90.00, 90.00, 90.00 degrees
Closest atoms and distances in Å follow each position.
Fractional coordinates of all 5 atoms:
Zr 0.0000 0.0000 0.5000  2 Mn 2.34
Zr 0.0000 0.5000 0.0000  2 Mn 2.34
Zr 0.5000 0.0000 0.0000  2 Mn 2.34
Mn 0.0000 0.0000 0.0000  6 Zr 2.34
B 0.5000 0.5000 0.5000  12 Zr 3.32